Entry 1:
# SrBe13

A crystal of SrBe13 relaxed with PBEsol (meta-GGA SCAN, the Alexandria database).

Structure (POSCAR):
```
SrBe13
1.0
7.3187 0.0000 0.0000
3.6593 6.3382 0.0000
3.6593 2.1127 5.9757
Be Sr
26 2
Direct
0.5000 0.5000 0.5000
0.0000 0.0000 0.0000
0.5653 0.7863 0.4347
0.2137 0.4347 0.7863
0.7863 0.5653 0.2137
0.4347 0.2137 0.5653
0.4347 0.5653 0.7863
0.7863 0.2137 0.4347
0.2137 0.7863 0.5653
0.5653 0.4347 0.2137
0.7863 0.4347 0.5653
0.4347 0.7863 0.2137
0.5653 0.2137 0.7863
0.2137 0.5653 0.4347
0.2863 0.7137 0.0653
0.9347 0.0653 0.7137
0.0653 0.9347 0.2863
0.7137 0.2863 0.9347
0.2863 0.9347 0.7137
0.9347 0.2863 0.0653
0.0653 0.7137 0.9347
0.7137 0.0653 0.2863
0.2863 0.0653 0.9347
0.9347 0.7137 0.2863
0.0653 0.2863 0.7137
0.7137 0.9347 0.0653
0.7500 0.7500 0.7500
0.2500 0.2500 0.2500
```

VASP energy ... -5.68 eV per atom



Entry 2:
# Ca2TaRe

A crystal of Ca2TaRe relaxed with PBEsol (meta-GGA SCAN, the Alexandria database).

Structure (POSCAR):
```
Ca2TaRe
1.0
-1.8619 0.0154 2.0699
2.7750 -3.5520 2.5226
3.3047 4.0234 2.0299
Re Ca Ta
1 2 1
Direct
0.5000 0.5000 0.0000
0.0126 0.0000 0.7562
0.9874 0.0000 0.2438
0.5000 0.5000 0.5000
```

ΔE to the lowest computed polymorph ... 275 meV per atom



Entry 3:
# Na3RhI

A crystal of Na3RhI relaxed with PBEsol (meta-GGA SCAN, the Alexandria database).

Structure (POSCAR):
```
Na3RhI
1.0
-3.0291 0.7854 -4.7205
3.2113 -3.8084 -2.6943
-3.5479 -4.1176 1.5916
I Na Rh
1 3 1
Direct
0.0000 0.0000 0.0000
0.0000 0.5000 0.0000
0.0000 0.0000 0.5000
0.5000 0.0000 0.0000
0.5000 0.5000 0.5000
```

Formation energy from raw total energies ... 0.32 eV/atom



Entry 4:
# TlZnCu2

A crystal of TlZnCu2 relaxed with PBEsol (meta-GGA SCAN, the Alexandria database).

Structure (POSCAR):
```
TlZnCu2
1.0
-1.2067 1.1725 -2.8253
2.0899 -3.9266 -0.6085
-4.3397 -1.2740 1.3248
Cu Tl Zn
2 1 1
Direct
0.7371 0.4741 0.6965
0.2629 0.5259 0.3035
0.5000 0.0000 0.0000
0.0000 0.0000 0.5000
```

VASP energy ... -28.81 eV per atom



Entry 5:
# IrRh3

A crystal of IrRh3 relaxed with PBEsol (meta-GGA SCAN, the Alexandria database).

Structure (POSCAR):
```
IrRh3
1.0
-0.8171 -2.4736 0.6343
2.4447 -1.4493 -2.5028
3.7511 -0.2607 3.8150
Ir Rh
1 3
Direct
0.0000 0.0000 0.0000
0.0000 0.0000 0.5000
0.5000 0.5000 0.2490
0.5000 0.5000 0.7510
```

VASP energy ... -43.13 eV per atom



Entry 6:
# MgTlI3

A crystal of MgTlI3 relaxed with PBEsol (meta-GGA SCAN, the Alexandria database).

Structure (POSCAR):
```
MgTlI3
1.0
-4.2845 -2.1631 -3.0405
1.4551 -5.2316 1.6715
-3.4361 0.4818 4.4992
I Tl Mg
3 1 1
Direct
0.0000 0.5000 0.0000
0.0000 0.0000 0.5000
0.5000 0.0000 0.0000
0.5000 0.5000 0.5000
0.0000 0.0000 0.0000
```

Formation energy from raw total energies ... -0.84 eV/atom



Entry 7:
# Hg2MoW

A crystal of Hg2MoW relaxed with PBEsol (meta-GGA SCAN, the Alexandria database).

Structure (POSCAR):
```
Hg2MoW
1.0
-0.8455 -0.3940 2.7076
-4.4352 -1.4042 -1.5894
1.5463 -4.6626 -0.1957
Hg Mo W
2 1 1
Direct
0.0000 0.0000 0.5000
0.0000 0.5000 0.0000
0.5000 0.5000 0.5000
0.5000 0.0000 0.0000
```

ΔE to the lowest computed polymorph ... 195 meV per atom



Entry 8:
# Bi3SbO7

A crystal of Bi3SbO7 relaxed with PBEsol (meta-GGA SCAN, the Alexandria database).

Structure (POSCAR):
```
Bi3SbO7
1.0
6.5856 -0.0638 0.0091
1.5064 6.6827 0.0153
0.0535 2.1631 7.3202
Bi Sb O
6 2 14
Direct
0.4742 0.0080 0.2548
0.5258 0.9920 0.7452
0.7362 0.5174 0.1192
0.2638 0.4826 0.8808
0.2580 0.5218 0.3755
0.7420 0.4782 0.6245
0.0000 0.0000 0.5000
0.0000 0.0000 0.0000
0.5384 0.6263 0.8220
0.4616 0.3737 0.1780
0.7174 0.9517 0.0508
0.2826 0.0483 0.9492
0.7251 0.9272 0.4823
0.2749 0.0728 0.5177
0.4677 0.3457 0.6401
0.5323 0.6543 0.3599
0.0955 0.6927 0.0376
0.9045 0.3073 0.9624
0.8882 0.3042 0.3841
0.1118 0.6958 0.6159
0.0955 0.9271 0.2685
0.9045 0.0729 0.7315
```

Formation energy from raw total energies ... -1.32 eV/atom



Entry 9:
# CuPtAu2

A crystal of CuPtAu2 relaxed with PBEsol (meta-GGA SCAN, the Alexandria database).

Structure (POSCAR):
```
CuPtAu2
1.0
2.9055 0.0000 0.0000
0.0000 4.5878 0.0000
-1.4528 -2.2939 4.5528
Au Cu Pt
2 1 1
Direct
0.0018 0.0018 0.0036
0.2367 0.7367 0.4733
0.4974 0.4974 0.9949
0.7641 0.2641 0.5282
```

ΔE to the lowest computed polymorph ... 47 meV per atom



Entry 10:
# TaSCl2

A crystal of TaSCl2 relaxed with PBEsol (meta-GGA SCAN, the Alexandria database).

Structure (POSCAR):
```
TaSCl2
1.0
-0.7328 1.3491 -2.5821
0.8378 -1.2114 -2.6182
-8.8374 -5.3921 -2.0566
S Cl Ta
1 2 1
Direct
0.0000 0.0000 0.0000
0.8910 0.8910 0.3269
0.1090 0.1090 0.6731
0.5000 0.5000 0.5000
```

Formation energy from raw total energies ... -0.26 eV/atom
ΔE to the lowest computed polymorph ... 0 meV per atom



Entry 11:
# KY3W

A crystal of KY3W relaxed with PBEsol (meta-GGA SCAN, the Alexandria database).

Structure (POSCAR):
```
KY3W
1.0
4.9996 0.0000 0.0000
0.0000 4.9996 0.0000
0.0000 0.0000 4.9996
Y K W
3 1 1
Direct
0.0000 0.5000 0.0000
0.0000 0.0000 0.5000
0.5000 0.0000 0.0000
0.0000 0.0000 0.0000
0.5000 0.5000 0.5000
```

VASP energy ... -30.28 eV per atom



Entry 12:
# CdSe2N

A crystal of CdSe2N relaxed with PBEsol (meta-GGA SCAN, the Alexandria database).

Structure (POSCAR):
```
CdSe2N
1.0
4.6172 0.0000 0.0000
2.3086 3.9986 0.0000
2.3086 1.3329 3.7699
N Se Cd
1 2 1
Direct
0.0000 0.0000 0.0000
0.2500 0.2500 0.2500
0.7500 0.7500 0.7500
0.5000 0.5000 0.5000
```

Formation energy from raw total energies ... 1.22 eV/atom